DFT (PBE-GGA) results for an optimized crystal structure of LiNd6Ru2Br3.

Unit cell a=7.1769 b=7.1769 c=8.3533 alpha=98.19 beta=98.19 gamma=120.03
Closest atoms and distances in Å follow each position.
Sites, in units of the cell vectors:
Li (0.0000, 0.0000, 0.0000)  6 Nd 3.09-3.10
Nd (0.0680, 0.4351, 0.2036)  2 Ru 2.80, 1 Li 3.10
Nd (0.3005, 0.3005, 0.7979)  2 Ru 2.80, 1 Li 3.09
Nd (0.4351, 0.0680, 0.2036)  2 Ru 2.80, 1 Li 3.10
Nd (0.5649, 0.9320, 0.7964)  2 Ru 2.80, 1 Li 3.10
Nd (0.6995, 0.6995, 0.2021)  2 Ru 2.80, 1 Li 3.09
Nd (0.9320, 0.5649, 0.7964)  2 Ru 2.80, 1 Li 3.10
Ru (0.3332, 0.6668, 0.0000)  6 Nd 2.80
Ru (0.6668, 0.3332, 0.0000)  6 Nd 2.80
Br (0.1675, 0.8325, 0.5000)  6 Nd 3.20-3.48
Br (0.5000, 0.5000, 0.5000)  6 Nd 3.20-3.46
Br (0.8325, 0.1675, 0.5000)  6 Nd 3.20-3.48

Summary:
Spin magnetization = 0.00 μB per formula unit
Raw formation energy = -711 meV per atom
V = 357.0 Å³/f.u.
Space-group type = C2/m, No. 12